Material: Pu2PaTc
Method: DFT, PBE
State: relaxed

Values from the calculation:
Formation energy   17 kJ/mol of atoms
DOS(E_F)   11.63 states/eV per cell
Polymorph energy (0 for the lowest one)   14.22 kJ per mole of atoms

```
Pu2PaTc
1.0
5.043 0.000 0.000
0.000 5.043 0.000
0.000 0.000 3.253
Pu Pa Tc
2 1 1
Direct
0.000 0.500 0.000
0.500 0.000 0.000
0.000 0.000 0.500
0.500 0.500 0.500
```